Below is a geometry-optimized ScCuPdO4 structure, with properties calculated at the PBE level.

Output
space-group type	No. 74
uncorrected formation energy	-1.50	eV per atom
magnetic moment	0.00	Bohr magnetons per cell

```
14
Lattice="-3.094 3.128 4.290 3.094 -3.128 4.290 3.094 3.128 -4.290" Properties=species:S:1:pos:R:3 pbc="T T T"
Sc 0.000 0.000 0.000
Sc 0.000 3.128 0.000
Cu 3.094 1.564 1.044
Cu 0.000 1.564 3.246
Pd 1.547 1.564 -2.145
Pd 1.547 -1.564 2.145
O 3.094 2.996 -2.144
O 3.094 -0.131 2.144
O 1.410 1.564 -0.057
O 1.684 -1.564 4.233
O 1.410 4.692 0.057
O 1.684 1.564 4.347
O 0.000 3.259 2.146
O 0.000 0.131 6.434
```